The following is a PBE calculation of crystalline ReSbIN2 at its relaxed geometry, from Alexandria.

abc: 4.037 4.037 6.968
angles: 90.00 90.00 90.00
Each line ends with the local moment (μB).
Positions (direct):
N 0.000 0.500 0.000  0.42
N 0.500 0.000 0.000  0.42
Re 0.500 0.500 0.500  2.96
Sb 0.000 0.000 0.000  -0.03
I 0.000 0.000 0.500  0.02

Properties
As for the uncorrected formation energy: 49.1 kcal/mol of atoms. Its symmetry is No. 123. The calculation puts the total energy at -4.83 eV/atom.



The following is a PBE calculation of crystalline Ca3BiAu8 at its relaxed geometry, from Alexandria.

abc: 5.644 5.644 10.091
angles: 73.76 73.76 60.00
Positions (direct):
Ca 0.377 0.377 0.868
Ca 0.507 0.507 0.480
Ca 0.992 0.992 0.025
Au 0.439 0.439 0.179
Au 0.187 0.187 0.439
Au 0.937 0.937 0.695
Au 0.432 0.937 0.695
Au 0.439 0.944 0.179
Au 0.688 0.688 0.936
Au 0.944 0.439 0.179
Au 0.937 0.432 0.695
Bi 0.872 0.872 0.383

Properties
The formation energy is -535 meV per atom. Its symmetry is No. 160. The calculation puts the total energy at -3.54 eV/atom.



The following is a PBE calculation of crystalline TbHf2Sc at its relaxed geometry, from Alexandria.

abc: 3.717 3.717 7.176
angles: 90.00 90.00 90.00
Positions (direct):
Sc 0.500 0.500 0.000
Hf 0.000 0.000 0.214
Hf 0.000 0.000 0.786
Tb 0.500 0.500 0.500

Properties
The formation energy is 250 meV per atom. Its symmetry is No. 123. The calculation puts the total energy at -7.47 eV/atom.



The following is a PBE calculation of crystalline Tb2SmAg3 at its relaxed geometry, from Alexandria.

abc: 3.655 3.655 11.101
angles: 90.00 90.00 90.00
Positions (direct):
Tb 0.500 0.500 0.835
Tb 0.500 0.500 0.165
Ag 0.000 0.000 0.327
Ag 0.000 0.000 0.673
Ag 0.000 0.000 0.000
Sm 0.500 0.500 0.500

Properties
The formation energy is -305 meV per atom. Its symmetry is No. 123. The calculation puts the total energy at -4.06 eV/atom.



The following is a PBE calculation of crystalline Al2BiI at its relaxed geometry, from Alexandria.

abc: 5.324 5.324 5.324
angles: 60.00 60.00 60.00
Positions (direct):
Al 0.750 0.750 0.750
Al 0.250 0.250 0.250
Bi 0.500 0.500 0.500
I 0.000 0.000 0.000

Properties
As for the uncorrected formation energy: 7.2 kcal/mol of atoms. Its symmetry is No. 225. The calculation puts the total energy at -2.92 eV/atom.



The following is a PBE calculation of crystalline ScCuHg2Mo at its relaxed geometry, from Alexandria.

abc: 5.383 4.805 5.383
angles: 90.00 90.00 90.00
Each line ends with the local moment (μB).
Positions (direct):
Sc 0.000 0.000 0.000  -0.13
Cu 0.000 0.500 0.000  0.01
Hg 0.500 0.000 0.000  0.00
Hg 0.000 0.000 0.500  0.02
Mo 0.500 0.500 0.500  3.72

Properties
The formation energy is 1342 meV per atom. Its symmetry is No. 123. The calculation puts the total energy at -3.03 eV/atom.



The following is a PBE calculation of crystalline Mg5P at its relaxed geometry, from Alexandria.

abc: 7.033 7.033 4.455
angles: 90.00 90.00 146.18
Positions (direct):
Mg 0.666 0.334 0.500
Mg 0.156 0.844 0.000
Mg 0.844 0.156 0.000
Mg 0.000 0.000 0.500
Mg 0.334 0.666 0.500
P 0.500 0.500 0.000

Properties
The formation energy is -62 meV per atom. Its symmetry is No. 65. The calculation puts the total energy at -2.29 eV/atom.



The following is a PBE calculation of crystalline TePb2 at its relaxed geometry, from Alexandria.

abc: 8.945 8.945 5.321
angles: 90.00 90.00 153.21
Positions (direct):
Pb 0.732 0.268 0.750
Pb 0.416 0.584 0.750
Pb 0.584 0.416 0.250
Pb 0.268 0.732 0.250
Te 0.089 0.911 0.750
Te 0.911 0.089 0.250

Properties
As for the uncorrected formation energy: -2.7 kcal/mol of atoms. Its symmetry is No. 63. The calculation puts the total energy at -3.64 eV/atom.



The following is a PBE calculation of crystalline CeZn4Re at its relaxed geometry, from Alexandria.

abc: 5.181 5.181 5.181
angles: 60.00 60.00 60.00
Positions (direct):
Re 0.000 0.000 0.000
Zn 0.626 0.121 0.626
Zn 0.121 0.626 0.626
Zn 0.626 0.626 0.626
Zn 0.626 0.626 0.121
Ce 0.250 0.250 0.250

Properties
The formation energy is -17 meV per atom. Its symmetry is No. 216. The calculation puts the total energy at -3.93 eV/atom.



The following is a PBE calculation of crystalline Sr2CaSnS4 at its relaxed geometry, from Alexandria.

abc: 4.195 7.252 7.303
angles: 70.58 90.00 90.00
Positions (direct):
Sr 0.500 0.000 0.500
Sr 0.000 0.000 0.000
S 0.000 0.743 0.747
S 0.500 0.260 0.742
S 0.000 0.257 0.253
S 0.500 0.740 0.258
Sn 0.500 0.500 0.000
Ca 0.000 0.500 0.500

Properties
As for the uncorrected formation energy: -39.0 kcal/mol of atoms. Its symmetry is No. 10. The calculation puts the total energy at -4.93 eV/atom.



The following is a PBE calculation of crystalline Sm2In4Hg at its relaxed geometry, from Alexandria.

abc: 6.038 6.038 6.888
angles: 103.43 103.43 118.03
Positions (direct):
In 0.500 0.000 0.000
In 0.250 0.750 0.500
In 0.750 0.250 0.500
In 0.000 0.500 0.000
Sm 0.642 0.642 0.284
Sm 0.358 0.358 0.716
Hg 0.000 0.000 0.000

Properties
The formation energy is -199 meV per atom. Its symmetry is No. 69. The calculation puts the total energy at -3.15 eV/atom.



The following is a PBE calculation of crystalline Mg2AsSe at its relaxed geometry, from Alexandria.

abc: 5.128 5.128 5.128
angles: 134.39 109.86 87.75
Positions (direct):
Mg 0.495 0.495 0.000
Mg 0.005 0.005 0.000
Se 0.750 0.250 0.500
As 0.250 0.750 0.500

Properties
As for the uncorrected formation energy: -9.7 kcal/mol of atoms. Its symmetry is No. 71. The calculation puts the total energy at -3.25 eV/atom.